Here is Tl5Fe2F12 after structural relaxation from Alexandria via LeMat-Bulk. Energies are from GGA+U.

Values from the calculation:
raw total energy	-4.443	eV per atom

Cell: 8.0424 8.0424 8.6822 Å, 106.25 106.25 46.32°
Sites, in units of the cell vectors:
Tl: 0.0000 0.0000 0.0000
Tl: 0.2968 0.2968 0.6671
Tl: 0.3017 0.3017 0.1271
Tl: 0.6983 0.6983 0.8729
Tl: 0.7032 0.7032 0.3329
Fe: 0.2481 0.7519 0.5000
Fe: 0.7519 0.2481 0.5000
F: 0.0046 0.0046 0.3536
F: 0.0824 0.5835 0.9289
F: 0.1188 0.6135 0.4211
F: 0.3865 0.8812 0.5789
F: 0.4165 0.9176 0.0711
F: 0.4962 0.4962 0.6465
F: 0.5038 0.5038 0.3535
F: 0.5835 0.0824 0.9289
F: 0.6135 0.1188 0.4211
F: 0.8812 0.3865 0.5789
F: 0.9176 0.4165 0.0711
F: 0.9954 0.9954 0.6464